# UHBr6

An optimized crystal structure of UHBr6 (PBE-GGA, the Alexandria database).

Properties
SG	P-1
DFT total energy	-32.36	eV/cell

```
UHBr6
1.0
7.1745 0.0000 0.0000
3.1967 6.7035 0.0000
3.3105 2.2240 6.6536
U H Br
1 1 6
direct
0.0000 0.0000 0.0000
0.0000 0.5000 0.0000
0.1476 0.8059 0.3169
0.1844 0.3258 0.8730
0.3675 0.7983 0.7863
0.6325 0.2017 0.2137
0.8156 0.6742 0.1270
0.8524 0.1941 0.6831
```

# VH2Br

An optimized crystal structure of VH2Br (PBE-GGA, the Alexandria database).

Properties
SG	I-42d
DFT total energy	-33.58	eV/cell

```
VH2Br
1.0
-3.1260 3.1260 2.6887
3.1260 -3.1260 2.6887
3.1260 3.1260 -2.6887
V H Br
2 4 2
direct
0.0000 0.0000 0.0000
0.7500 0.2500 0.5000
0.3750 0.2091 0.3341
0.7909 0.1250 0.1659
0.8750 0.0409 0.6659
0.9591 0.6250 0.8341
0.2500 0.7500 0.5000
0.5000 0.5000 0.0000
```

# V2HBr2

An optimized crystal structure of V2HBr2 (PBE-GGA, the Alexandria database).

Properties
SG	I4/mmm
DFT total energy	-23.59	eV/cell

```
V2HBr2
1.0
-1.7732 1.7732 7.2027
1.7732 -1.7732 7.2027
1.7732 1.7732 -7.2027
V H Br
2 1 2
direct
0.2500 0.7500 0.5000
0.7500 0.2500 0.5000
0.0000 0.0000 0.0000
0.3766 0.3766 0.0000
0.6234 0.6234 0.0000
```

# VHBr3

An optimized crystal structure of VHBr3 (PBE-GGA, the Alexandria database).

Properties
SG	Pm-3m
DFT total energy	-17.59	eV/cell

```
VHBr3
1.0
5.0877 0.0000 0.0000
0.0000 5.0877 0.0000
0.0000 0.0000 5.0877
V H Br
1 1 3
direct
0.0000 0.0000 0.0000
0.5000 0.5000 0.5000
0.0000 0.0000 0.5000
0.0000 0.5000 0.0000
0.5000 0.0000 0.0000
```

# VH2Br

An optimized crystal structure of VH2Br (PBE-GGA, the Alexandria database).

Properties
SG	Fm-3m
DFT total energy	-14.23	eV/cell

```
VH2Br
1.0
0.0000 2.8402 2.8402
2.8402 0.0000 2.8402
2.8402 2.8402 0.0000
V H Br
1 2 1
direct
0.0000 0.0000 0.0000
0.2500 0.2500 0.2500
0.7500 0.7500 0.7500
0.5000 0.5000 0.5000
```

# VH3Br

An optimized crystal structure of VH3Br (PBE-GGA, the Alexandria database).

Properties
SG	Pm-3m
DFT total energy	-18.52	eV/cell

```
VH3Br
1.0
3.6665 0.0000 0.0000
0.0000 3.6665 0.0000
0.0000 0.0000 3.6665
V H Br
1 3 1
direct
0.0000 0.0000 0.0000
0.0000 0.0000 0.5000
0.0000 0.5000 0.0000
0.5000 0.0000 0.0000
0.5000 0.5000 0.5000
```

# VH2Br4

An optimized crystal structure of VH2Br4 (PBE-GGA, the Alexandria database).

Properties
SG	P-1
DFT total energy	-25.66	eV/cell

```
VH2Br4
1.0
3.9036 0.0000 0.0000
-1.0961 6.3445 0.0000
-0.0688 -0.3677 7.2035
V H Br
1 2 4
direct
0.0000 0.0000 0.0000
0.2472 0.4847 0.2131
0.7528 0.5153 0.7869
0.0608 0.2824 0.2869
0.4507 0.8068 0.1687
0.5493 0.1932 0.8313
0.9392 0.7176 0.7131
```

# VHBr2

An optimized crystal structure of VHBr2 (PBE-GGA, the Alexandria database).

Properties
SG	Fm-3m
DFT total energy	-14.75	eV/cell

```
VHBr2
1.0
0.0000 3.2648 3.2648
3.2648 0.0000 3.2648
3.2648 3.2648 0.0000
V H Br
1 1 2
direct
0.0000 0.0000 0.0000
0.5000 0.5000 0.5000
0.2500 0.2500 0.2500
0.7500 0.7500 0.7500
```

# V3HBr

An optimized crystal structure of V3HBr (PBE-GGA, the Alexandria database).

Properties
SG	Pm-3m
DFT total energy	-29.82	eV/cell

```
V3HBr
1.0
3.9391 0.0000 0.0000
0.0000 3.9391 0.0000
0.0000 0.0000 3.9391
V H Br
3 1 1
direct
0.0000 0.0000 0.5000
0.0000 0.5000 0.0000
0.5000 0.0000 0.0000
0.0000 0.0000 0.0000
0.5000 0.5000 0.5000
```

# VHBr2

An optimized crystal structure of VHBr2 (PBE-GGA, the Alexandria database).

Properties
SG	R-3m
DFT total energy	-15.99	eV/cell

```
VHBr2
1.0
1.9167 1.1066 9.7478
-1.9167 1.1066 9.7478
0.0000 -2.2132 9.7478
V H Br
1 1 2
direct
0.0000 0.0000 0.0000
0.5000 0.5000 0.5000
0.3828 0.3828 0.3828
0.6172 0.6172 0.6172
```

# VH3Br

An optimized crystal structure of VH3Br (PBE-GGA, the Alexandria database).

Properties
SG	Pm-3m
DFT total energy	-13.87	eV/cell

```
VH3Br
1.0
3.9381 0.0000 0.0000
0.0000 3.9381 0.0000
0.0000 0.0000 3.9381
V H Br
1 3 1
direct
0.0000 0.0000 0.0000
0.0000 0.5000 0.5000
0.5000 0.0000 0.5000
0.5000 0.5000 0.0000
0.5000 0.5000 0.5000
```

# VHBr3

An optimized crystal structure of VHBr3 (PBE-GGA, the Alexandria database).

Properties
SG	C2/m
DFT total energy	-39.86	eV/cell

```
VHBr3
1.0
7.1924 -1.7918 0.0000
7.1924 1.7918 0.0000
-2.7121 0.0000 10.4816
V H Br
2 2 6
direct
0.2409 0.2409 0.1549
0.7591 0.7591 0.8451
0.1468 0.1468 0.6006
0.8532 0.8532 0.3994
0.1469 0.1469 0.9111
0.3513 0.3513 0.3930
0.3683 0.3683 0.7919
0.6317 0.6317 0.2081
0.6487 0.6487 0.6070
0.8531 0.8531 0.0889
```

# VHBr2

An optimized crystal structure of VHBr2 (PBE-GGA, the Alexandria database).

Properties
SG	I-42d
DFT total energy	-30.35	eV/cell

```
VHBr2
1.0
-3.6848 3.6848 4.2469
3.6848 -3.6848 4.2469
3.6848 3.6848 -4.2469
V H Br
2 2 4
direct
0.0000 0.0000 0.0000
0.7500 0.2500 0.5000
0.2500 0.7500 0.5000
0.5000 0.5000 0.0000
0.0539 0.6250 0.9289
0.3750 0.3039 0.4289
0.6961 0.1250 0.0711
0.8750 0.9461 0.5711
```

# V2HBr2

An optimized crystal structure of V2HBr2 (PBE-GGA, the Alexandria database).

Properties
SG	P4/mbm
DFT total energy	-43.22	eV/cell

```
V2HBr2
1.0
7.8522 0.0000 0.0000
0.0000 7.8522 0.0000
0.0000 0.0000 3.3954
V H Br
4 2 4
direct
0.0834 0.4166 0.0000
0.4166 0.9166 0.0000
0.5834 0.0834 0.0000
0.9166 0.5834 0.0000
0.0000 0.0000 0.5000
0.5000 0.5000 0.5000
0.1733 0.6733 0.5000
0.3267 0.1733 0.5000
0.6733 0.8267 0.5000
0.8267 0.3267 0.5000
```

# VHBr3

An optimized crystal structure of VHBr3 (PBE-GGA, the Alexandria database).

Properties
SG	Pm-3m
DFT total energy	-14.59	eV/cell

```
VHBr3
1.0
4.6596 0.0000 0.0000
0.0000 4.6596 0.0000
0.0000 0.0000 4.6596
V H Br
1 1 3
direct
0.0000 0.0000 0.0000
0.5000 0.5000 0.5000
0.0000 0.5000 0.5000
0.5000 0.0000 0.5000
0.5000 0.5000 0.0000
```

# H3WBr

An optimized crystal structure of H3WBr (PBE-GGA, the Alexandria database).

Properties
SG	Pm-3m
DFT total energy	-14.39	eV/cell

```
H3WBr
1.0
3.6292 0.0000 0.0000
0.0000 3.6292 0.0000
0.0000 0.0000 3.6292
H W Br
3 1 1
direct
0.0000 0.0000 0.5000
0.0000 0.5000 0.0000
0.5000 0.0000 0.0000
0.5000 0.5000 0.5000
0.0000 0.0000 0.0000
```

# HW3Br

An optimized crystal structure of HW3Br (PBE-GGA, the Alexandria database).

Properties
SG	Pm-3m
DFT total energy	-37.26	eV/cell

```
HW3Br
1.0
4.1337 0.0000 0.0000
0.0000 4.1337 0.0000
0.0000 0.0000 4.1337
H W Br
1 3 1
direct
0.0000 0.0000 0.0000
0.0000 0.0000 0.5000
0.0000 0.5000 0.0000
0.5000 0.0000 0.0000
0.5000 0.5000 0.5000
```

# HWBr

An optimized crystal structure of HWBr (PBE-GGA, the Alexandria database).

Properties
SG	P-1
DFT total energy	-34.92	eV/cell

```
HWBr
1.0
3.1673 0.0000 0.0000
0.0002 4.0774 0.0000
1.4775 0.2315 9.0649
H W Br
2 2 2
direct
0.2118 0.2690 0.0818
0.7882 0.7310 0.9182
0.2270 0.7643 0.0495
0.7730 0.2357 0.9505
0.1017 0.7602 0.3178
0.8983 0.2398 0.6822
```

# HWBr2

An optimized crystal structure of HWBr2 (PBE-GGA, the Alexandria database).

Properties
SG	R-3m
DFT total energy	-16.66	eV/cell

```
HWBr2
1.0
1.6377 0.9455 9.1848
-1.6377 0.9455 9.1848
0.0000 -1.8910 9.1848
H W Br
1 1 2
direct
0.0000 0.0000 0.0000
0.5000 0.5000 0.5000
0.1000 0.1000 0.1000
0.9000 0.9000 0.9000
```

# H3WBr

An optimized crystal structure of H3WBr (PBE-GGA, the Alexandria database).

Properties
SG	Pm-3m
DFT total energy	-20.76	eV/cell

```
H3WBr
1.0
3.7428 0.0000 0.0000
0.0000 3.7428 0.0000
0.0000 0.0000 3.7428
H W Br
3 1 1
direct
0.0000 0.0000 0.5000
0.0000 0.5000 0.0000
0.5000 0.0000 0.0000
0.0000 0.0000 0.0000
0.5000 0.5000 0.5000
```